# 1
Here is crystalline CaOs2Au at its relaxed geometry from Alexandria via LeMat-Bulk. Energies are from PBE.

Cell and atoms, written as POSCAR:
```
CaOs2Au
1.0
0.000 3.264 3.264
3.264 0.000 3.264
3.264 3.264 0.000
Ca Os Au
1 2 1
Direct
0.000 0.000 0.000
0.250 0.250 0.250
0.750 0.750 0.750
0.500 0.500 0.500
```

V (Å³ per atom): 17.39
Space group: No. 225
Energy of formation from the pure elements (kJ/mol of formula units): 408
ρ (g/cm3): 14.7

# 2
Here is crystalline PmEuTlCd at its relaxed geometry from Alexandria via LeMat-Bulk. Energies are from PBE.

Cell and atoms, written as POSCAR:
```
PmEuTlCd
1.0
0.000 3.904 3.904
3.904 0.000 3.904
3.904 3.904 0.000
Pm Eu Tl Cd
1 1 1 1
Direct
0.000 0.000 0.000
0.500 0.500 0.500
0.250 0.250 0.250
0.750 0.750 0.750
```

V (Å³ per atom): 29.76
Space group: No. 216
Energy of formation from the pure elements (kJ/mol of formula units): -142
ρ (g/cm3): 8.6

# 3
Here is crystalline Ti3Mo2W3 at its relaxed geometry from Alexandria via LeMat-Bulk. Energies are from PBE.

Cell and atoms, written as POSCAR:
```
Ti3Mo2W3
1.0
4.841 0.000 0.000
0.000 10.406 0.000
-0.100 0.000 5.217
Ti Mo W
6 4 6
Direct
0.117 0.250 0.142
0.327 0.618 0.624
0.327 0.882 0.624
0.673 0.118 0.376
0.673 0.382 0.376
0.883 0.750 0.858
0.174 0.125 0.637
0.174 0.375 0.637
0.826 0.625 0.363
0.826 0.875 0.363
0.251 0.000 0.127
0.251 0.500 0.127
0.389 0.750 0.118
0.611 0.250 0.882
0.749 0.000 0.873
0.749 0.500 0.873
```

V (Å³ per atom): 16.42
Space group: No. 11
Energy of formation from the pure elements (kJ/mol of formula units): 118
ρ (g/cm3): 11.2

# 4
Here is crystalline SrSm2Rh at its relaxed geometry from Alexandria via LeMat-Bulk. Energies are from PBE.

Cell and atoms, written as POSCAR:
```
SrSm2Rh
1.0
2.022 1.168 10.965
-2.022 1.168 10.965
0.000 -2.335 10.965
Sr Sm Rh
1 2 1
Direct
0.000 0.000 0.000
0.120 0.120 0.120
0.880 0.880 0.880
0.500 0.500 0.500
```

V (Å³ per atom): 38.84
Space group: No. 166
Energy of formation from the pure elements (kJ/mol of formula units): -93
ρ (g/cm3): 5.3